(1)
Compound: ScTaW2
Source: the Alexandria database
Functional: PBE
Structure: relaxed

Lattice parameters (Å, degrees): 3.1994 3.1994 7.0858 90.00 90.00 90.00
Last column: nearest neighbours and their distance in Å.
Fractional positions:
1 Sc 0.0000 0.0000 0.0000  4 W 2.95, 4 Ta 3.06, 4 Sc 3.20
2 Ta 0.5000 0.5000 0.2912  5 W 2.80-3.12, 4 Sc 3.06
3 W 0.0000 0.0000 0.5234  4 W 2.70, 4 Ta 2.80
4 W 0.5000 0.5000 0.7317  4 W 2.70, 4 Sc 2.95

Output
Magnetization = 0.0 μB/f.u.
DOS(E_F) = 4.5 states/eV per cell
Space-group type = No. 99
V = 18.1 Å³ per atom
Formation energy from the elements = 0.168 eV/atom

(2)
Compound: Sc2TaW
Source: the Alexandria database
Functional: PBE
Structure: relaxed

Lattice parameters (Å, degrees): 5.5928 5.5928 2.8583 95.99 95.99 118.78
Last column: nearest neighbours and their distance in Å.
Fractional positions:
1 Sc 0.0000 0.5000 0.0000  4 Sc 2.85-2.86, 2 W 3.00, 2 Ta 3.00
2 Sc 0.5000 0.0000 0.0000  4 Sc 2.85-2.86, 2 W 3.00, 2 Ta 3.00
3 Ta 0.0000 0.0000 0.5000  2 W 2.85, 2 Ta 2.86, 4 Sc 3.00
4 W 0.5000 0.5000 0.5000  2 Ta 2.85, 2 W 2.86, 4 Sc 3.00

Output
Magnetization = 0.0 μB/f.u.
DOS(E_F) = 4.5 states/eV per cell
Space-group type = No. 12
V = 19.2 Å³ per atom
Formation energy from the elements = 0.256 eV/atom

(3)
Compound: ScTaW2
Source: the Alexandria database
Functional: PBE
Structure: relaxed

Lattice parameters (Å, degrees): 3.9308 3.9308 4.6166 90.00 90.00 90.00
Last column: nearest neighbours and their distance in Å.
Fractional positions:
1 Sc 0.0000 0.0000 0.0000  4 Ta 2.78, 8 W 3.03
2 Ta 0.5000 0.5000 0.0000  4 Sc 2.78, 8 W 3.03
3 W 0.0000 0.5000 0.5000  4 W 2.78, 4 Ta 3.03, 4 Sc 3.03
4 W 0.5000 0.0000 0.5000  4 W 2.78, 4 Ta 3.03, 4 Sc 3.03

Output
Magnetization = 0.0 μB/f.u.
DOS(E_F) = 4.6 states/eV per cell
Space-group type = No. 123
V = 17.8 Å³ per atom
Formation energy from the elements = 0.402 eV/atom

(4)
Compound: ScTaW2
Source: the Alexandria database
Functional: PBE
Structure: relaxed

Lattice parameters (Å, degrees): 2.7364 2.7364 9.6092 90.00 90.00 90.00
Last column: nearest neighbours and their distance in Å.
Fractional positions:
1 Sc 0.0000 0.0000 0.0000  4 Sc 2.74
2 Ta 0.5000 0.5000 0.2704  4 Ta 2.74, 4 W 3.03
3 W 0.0000 0.0000 0.5130  8 W 2.74-3.00, 4 Ta 3.03
4 W 0.5000 0.5000 0.7522  8 W 2.74-3.00

Output
Magnetization = 0.0 μB/f.u.
DOS(E_F) = 5.2 states/eV per cell
Space-group type = No. 99
V = 18.0 Å³ per atom
Formation energy from the elements = 0.353 eV/atom

(5)
Compound: ScTaW2
Source: the Alexandria database
Functional: PBE
Structure: relaxed

Lattice parameters (Å, degrees): 10.1787 10.1787 10.1787 16.25 16.25 16.25
Last column: nearest neighbours and their distance in Å.
Fractional positions:
1 Sc 0.0000 0.0000 0.0000  6 Sc 2.88, 3 W 3.00, 3 Ta 3.13
2 Ta 0.7546 0.7546 0.7546  6 Ta 2.88, 3 W 3.00, 3 Sc 3.13
3 W 0.2503 0.2503 0.2503  9 W 2.88-2.92, 3 Sc 3.00
4 W 0.5041 0.5041 0.5041  9 W 2.88-2.92, 3 Ta 3.00

Output
Magnetization = 0.0 μB/f.u.
DOS(E_F) = 5.8 states/eV per cell
Space-group type = No. 160
V = 18.0 Å³ per atom
Formation energy from the elements = 0.448 eV/atom

(6)
Compound: ScTaW3
Source: the Alexandria database
Functional: PBE
Structure: relaxed

Lattice parameters (Å, degrees): 4.8135 4.8135 4.8135 90.00 90.00 90.00
Last column: nearest neighbours and their distance in Å.
Fractional positions:
1 Sc 0.0000 0.0000 0.0000  12 W 3.40
2 Ta 0.5000 0.5000 0.5000  6 W 2.41
3 W 0.0000 0.5000 0.5000  2 Ta 2.41
4 W 0.5000 0.0000 0.5000  2 Ta 2.41
5 W 0.5000 0.5000 0.0000  2 Ta 2.41

Output
Magnetization = 0.0 μB/f.u.
DOS(E_F) = 7.9 states/eV per cell
Space-group type = No. 221
V = 22.3 Å³ per atom
Formation energy from the elements = 1.837 eV/atom

(7)
Compound: ScTaW2
Source: the Alexandria database
Functional: PBE
Structure: relaxed

Lattice parameters (Å, degrees): 2.8178 4.6132 5.5097 90.00 100.40 90.00
Last column: nearest neighbours and their distance in Å.
Fractional positions:
1 Sc 0.0000 0.0000 0.0000  2 Sc 2.82, 4 W 2.84-2.88, 2 Ta 2.90
2 Ta 0.7127 0.5000 0.2595  2 Ta 2.82, 5 W 2.83-3.15, 2 Sc 2.90
3 W 0.2641 0.5000 0.7433  4 W 2.76-2.82, 2 Ta 2.83-2.90, 2 Sc 2.87
4 W 0.4743 0.0000 0.5095  4 W 2.76-2.82, 2 Ta 2.83, 2 Sc 2.84-2.88

Output
Magnetization = 0.0 μB/f.u.
DOS(E_F) = 3.8 states/eV per cell
Space-group type = No. 6
V = 17.6 Å³ per atom
Formation energy from the elements = 0.135 eV/atom

(8)
Compound: ScTaW2
Source: the Alexandria database
Functional: PBE
Structure: relaxed

Lattice parameters (Å, degrees): 4.6289 4.6289 4.6289 60.00 60.00 60.00
Last column: nearest neighbours and their distance in Å.
Fractional positions:
1 Sc 0.0000 0.0000 0.0000  8 W 2.83
2 Ta 0.5000 0.5000 0.5000  8 W 2.83
3 W 0.2500 0.2500 0.2500  4 Ta 2.83, 4 Sc 2.83
4 W 0.7500 0.7500 0.7500  4 Ta 2.83, 4 Sc 2.83

Output
Magnetization = 0.0 μB/f.u.
DOS(E_F) = 6.3 states/eV per cell
Space-group type = No. 225
V = 17.5 Å³ per atom
Formation energy from the elements = 0.237 eV/atom

(9)
Compound: Sc2TaW
Source: the Alexandria database
Functional: PBE
Structure: relaxed

Lattice parameters (Å, degrees): 6.0781 6.0781 6.0781 102.23 102.23 125.19
Last column: nearest neighbours and their distance in Å.
Fractional positions:
1 Sc 0.1100 0.6250 0.9850  2 W 2.71, 2 Sc 2.81, 2 Ta 2.87
2 Sc 0.3750 0.3600 0.4850  2 W 2.71, 2 Sc 2.81, 2 Ta 2.87
3 Sc 0.6400 0.1250 0.0150  2 W 2.71, 2 Sc 2.81, 2 Ta 2.87
4 Sc 0.8750 0.8900 0.5150  2 W 2.71, 2 Sc 2.81, 2 Ta 2.87
5 Ta 0.2500 0.7500 0.5000  2 W 2.80, 4 Sc 2.87
6 Ta 0.5000 0.5000 0.0000  2 W 2.80, 4 Sc 2.87
7 W 0.0000 0.0000 0.0000  4 Sc 2.71, 2 Ta 2.80
8 W 0.7500 0.2500 0.5000  4 Sc 2.71, 2 Ta 2.80

Output
Magnetization = 0.0 μB/f.u.
DOS(E_F) = 16.0 states/eV per cell
Space-group type = No. 122
V = 20.4 Å³ per atom
Formation energy from the elements = 0.877 eV/atom

(10)
Compound: Sc2TaW
Source: the Alexandria database
Functional: PBE
Structure: relaxed

Lattice parameters (Å, degrees): 5.6917 5.6917 5.6917 144.63 133.18 60.02
Last column: nearest neighbours and their distance in Å.
Fractional positions:
1 Sc 0.2288 0.2288 0.0000  2 W 2.84, 4 Sc 2.88
2 Sc 0.7712 0.7712 0.0000  2 W 2.84, 4 Sc 2.88
3 Ta 0.5000 0.0000 0.5000  4 W 2.85, 4 Sc 3.18
4 W 0.0000 0.5000 0.5000  4 Sc 2.84, 4 Ta 2.85

Output
Magnetization = 0.0 μB/f.u.
DOS(E_F) = 5.2 states/eV per cell
Space-group type = No. 71
V = 19.3 Å³ per atom
Formation energy from the elements = 0.222 eV/atom

(11)
Compound: ScTaW2
Source: the Alexandria database
Functional: PBE
Structure: relaxed

Lattice parameters (Å, degrees): 3.2471 3.2471 6.8168 90.00 90.00 90.00
Last column: nearest neighbours and their distance in Å.
Fractional positions:
1 Sc 0.0000 0.0000 0.0000  8 W 2.96, 4 Sc 3.25
2 Ta 0.0000 0.0000 0.5000  8 W 2.76
3 W 0.5000 0.5000 0.2746  4 Ta 2.76, 4 Sc 2.96, 1 W 3.07
4 W 0.5000 0.5000 0.7254  4 Ta 2.76, 4 Sc 2.96, 1 W 3.07

Output
Magnetization = 0.0 μB/f.u.
DOS(E_F) = 6.1 states/eV per cell
Space-group type = No. 123
V = 18.0 Å³ per atom
Formation energy from the elements = 0.234 eV/atom

(12)
Compound: Sc2TaW
Source: the Alexandria database
Functional: PBE
Structure: relaxed

Lattice parameters (Å, degrees): 4.0068 4.0068 4.7963 90.00 90.00 90.00
Last column: nearest neighbours and their distance in Å.
Fractional positions:
1 Sc 0.0000 0.5000 0.0000  4 Sc 2.83, 4 W 3.12, 4 Ta 3.12
2 Sc 0.5000 0.0000 0.0000  4 Sc 2.83, 4 W 3.12, 4 Ta 3.12
3 Ta 0.0000 0.0000 0.5000  4 W 2.83, 8 Sc 3.12
4 W 0.5000 0.5000 0.5000  4 Ta 2.83, 8 Sc 3.12

Output
Magnetization = 0.0 μB/f.u.
DOS(E_F) = 5.7 states/eV per cell
Space-group type = No. 123
V = 19.3 Å³ per atom
Formation energy from the elements = 0.258 eV/atom

(13)
Compound: ScTaW2
Source: the Alexandria database
Functional: PBE
Structure: relaxed

Lattice parameters (Å, degrees): 4.6207 4.6207 4.6207 119.96 119.96 90.07
Last column: nearest neighbours and their distance in Å.
Fractional positions:
1 Sc 0.0000 0.0000 0.0000  4 Ta 2.83, 4 W 2.83
2 Ta 0.2500 0.7500 0.5000  4 W 2.83, 4 Sc 2.83
3 W 0.5000 0.5000 0.0000  4 Ta 2.83, 4 W 2.83
4 W 0.7500 0.2500 0.5000  4 W 2.83, 4 Sc 2.83

Output
Magnetization = 0.0 μB/f.u.
DOS(E_F) = 5.1 states/eV per cell
Space-group type = No. 119
V = 17.5 Å³ per atom
Formation energy from the elements = 0.187 eV/atom

(14)
Compound: Sc2TaW
Source: the Alexandria database
Functional: PBE
Structure: relaxed

Lattice parameters (Å, degrees): 9.6765 9.6765 9.6765 18.89 18.89 18.89
Last column: nearest neighbours and their distance in Å.
Fractional positions:
1 Sc 0.0000 0.0000 0.0000  3 Ta 3.04, 6 Sc 3.18
2 Sc 0.2297 0.2297 0.2297  3 W 2.86, 6 Sc 3.18
3 Ta 0.7517 0.7517 0.7517  3 W 2.66
4 W 0.4858 0.4858 0.4858  3 Ta 2.66, 3 Sc 2.86

Output
Magnetization = 0.0 μB/f.u.
DOS(E_F) = 5.8 states/eV per cell
Space-group type = No. 160
V = 20.7 Å³ per atom
Formation energy from the elements = 0.286 eV/atom

(15)
Compound: ScTa4W
Source: the Alexandria database
Functional: PBE
Structure: relaxed

Lattice parameters (Å, degrees): 5.4495 5.4495 5.4495 60.00 60.00 60.00
Last column: nearest neighbours and their distance in Å.
Fractional positions:
1 Sc 0.0000 0.0000 0.0000  12 Ta 3.19, 4 W 3.34
2 Ta 0.1245 0.6252 0.6252  6 Ta 2.72-2.73
3 Ta 0.6252 0.1245 0.6252  6 Ta 2.72-2.73
4 Ta 0.6252 0.6252 0.1245  6 Ta 2.72-2.73
5 Ta 0.6252 0.6252 0.6252  6 Ta 2.72-2.73
6 W 0.2500 0.2500 0.2500  12 Ta 3.20, 4 Sc 3.34

Output
Magnetization = 0.0 μB/f.u.
DOS(E_F) = 10.7 states/eV per cell
Space-group type = No. 216
V = 19.1 Å³ per atom
Formation energy from the elements = 0.298 eV/atom